[1]
First-principles (PBE) data for crystalline K2WAu at its relaxed geometry, as listed in Alexandria.

Computed properties:
The calculation puts the energy relative to the elements at 29.2 kcal/mol of atoms. Its total magnetization is 3.046 μB per formula unit. As for the mass density: 7.552 g/cm3. The energy relative to the lowest polymorph listed for this composition comes out at 498.8 meV per atom. The calculation puts the raw total energy at -3.342 eV/atom.

extended XYZ file:
```
4
Lattice="-3.7625 -3.4066 2.4996 3.0034 -2.9196 0.5419 0.9636 1.6873 3.7500" Properties=species:S:1:pos:R:3 pbc="T T T"
W -0.3796 -3.1631 1.5207
Au -1.3994 -0.8597 3.1248
K 1.9835 -0.6162 2.1459
K 0.0000 0.0000 0.0000
```

=====

[2]
First-principles (PBE) data for crystalline K2WAu at its relaxed geometry, as listed in Alexandria.

Computed properties:
The calculation puts the energy relative to the elements at 22.5 kcal/mol of atoms. Its total magnetization is 2.002 μB per formula unit. As for the mass density: 6.678 g/cm3. The energy relative to the lowest polymorph listed for this composition comes out at 212.3 meV per atom. The calculation puts the raw total energy at -3.629 eV/atom.

extended XYZ file:
```
4
Lattice="6.7496 -0.1218 -0.1353 6.2070 2.6545 -0.1353 2.1650 0.4232 6.0673" Properties=species:S:1:pos:R:3 pbc="T T T"
Au 3.1873 0.6230 1.2694
K 12.7147 2.4854 0.1995
K 11.5024 2.2485 3.9646
W 8.2345 1.6097 2.9906
```